1.
{
  "formula": "Er2Pt",
  "functional": "PBE",
  "state": "optimized geometry",
  "delta_e_f_kcal_per_mol_atoms": -22.8,
  "crystal_system": "orthorhombic",
  "space_group": "Pnma, No. 62",
  "lattice_angstrom": [[7.0917, 0.0000, 0.0000], [0.0000, 4.7355, 0.0000], [0.0000, 0.0000, 8.7195]],
  "species": ["Er", "Er", "Er", "Er", "Er", "Er", "Er", "Er", "Pt", "Pt", "Pt", "Pt"],
  "frac_coords": [[0.0100, 0.2500, 0.1673], [0.1440, 0.2500, 0.5799], [0.3560, 0.7500, 0.0799], [0.4900, 0.7500, 0.6673], [0.5100, 0.2500, 0.3327], [0.6440, 0.2500, 0.9201], [0.8560, 0.7500, 0.4201], [0.9900, 0.7500, 0.8327], [0.2412, 0.2500, 0.9057], [0.2588, 0.7500, 0.4057], [0.7412, 0.2500, 0.5943], [0.7588, 0.7500, 0.0943]]
}

***

2.
{
  "formula": "Cs3NaH8Pd2",
  "functional": "PBE",
  "state": "optimized geometry",
  "crystal_system": "trigonal",
  "space_group": "P-3m1, No. 164",
  "lattice_angstrom": [[6.5115, 0.0000, 0.0000], [-3.2558, 5.6391, 0.0000], [0.0000, 0.0000, 7.8924]],
  "species": ["Cs", "Cs", "Cs", "Na", "H", "H", "H", "H", "H", "H", "H", "H", "Pd", "Pd"],
  "frac_coords": [[0.0000, 0.0000, 0.0000], [0.3333, 0.6667, 0.6895], [0.6667, 0.3333, 0.3105], [0.0000, 0.0000, 0.5000], [0.1778, 0.3555, 0.3016], [0.1778, 0.8222, 0.3016], [0.3333, 0.6667, 0.1186], [0.3555, 0.1778, 0.6984], [0.6445, 0.8222, 0.3016], [0.6667, 0.3333, 0.8814], [0.8222, 0.1778, 0.6984], [0.8222, 0.6445, 0.6984], [0.3333, 0.6667, 0.3107], [0.6667, 0.3333, 0.6893]]
}

***

3.
{
  "formula": "BiSO2",
  "functional": "PBE",
  "state": "optimized geometry",
  "polymorph_energy_mev_per_atom": 305,
  "crystal_system": "triclinic",
  "space_group": "P1, No. 1",
  "lattice_angstrom": [[3.7143, 0.0000, 0.0000], [-1.6833, 5.7080, 0.0000], [-0.2924, -1.6688, 7.1498]],
  "species": ["Bi", "Bi", "S", "S", "O", "O", "O", "O"],
  "frac_coords": [[0.0000, 0.0000, 0.0000], [0.2197, 0.4087, 0.7374], [0.6680, 0.3388, 0.4183], [0.7343, 0.7687, 0.4327], [0.3940, 0.7741, 0.9272], [0.6352, 0.2422, 0.1929], [0.9603, 0.8064, 0.2700], [0.9796, 0.9003, 0.6142]]
}

***

4.
{
  "formula": "DyInSeS",
  "functional": "PBE",
  "state": "optimized geometry",
  "crystal_system": "trigonal",
  "space_group": "R3m, No. 160",
  "lattice_angstrom": [[4.0713, 0.0000, 0.0000], [-2.0356, 3.5258, 0.0000], [0.0000, 0.0000, 23.3345]],
  "species": ["Dy", "Dy", "Dy", "In", "In", "In", "Se", "Se", "Se", "S", "S", "S"],
  "frac_coords": [[0.0000, 0.0000, 0.0000], [0.3333, 0.6667, 0.6667], [0.6667, 0.3333, 0.3333], [0.0000, 0.0000, 0.8307], [0.3333, 0.6667, 0.4974], [0.6667, 0.3333, 0.1640], [0.0000, 0.0000, 0.4086], [0.3333, 0.6667, 0.0753], [0.6667, 0.3333, 0.7419], [0.0000, 0.0000, 0.6088], [0.3333, 0.6667, 0.2755], [0.6667, 0.3333, 0.9421]]
}

***

5.
{
  "formula": "Mn2ReTc",
  "functional": "PBE",
  "state": "optimized geometry",
  "delta_e_f_kcal_per_mol_atoms": 1.6,
  "crystal_system": "monoclinic",
  "space_group": "Pm, No. 6",
  "lattice_angstrom": [[2.6668, 0.0000, 0.0000], [0.0000, 4.0359, 0.0000], [-1.3215, 0.0000, 4.8271]],
  "species": ["Mn", "Mn", "Re", "Tc"],
  "frac_coords": [[0.0000, 0.0000, 0.0000], [0.1130, 0.5000, 0.2335], [0.7317, 0.0000, 0.4716], [0.3811, 0.5000, 0.7630]]
}

***

6.
{
  "formula": "GaGe2S2",
  "functional": "PBE",
  "state": "optimized geometry",
  "polymorph_energy_mev_per_atom": 12,
  "crystal_system": "tetragonal",
  "space_group": "P4/mbm, No. 127",
  "lattice_angstrom": [[7.7717, 0.0000, 0.0000], [0.0000, 7.7717, 0.0000], [0.0000, 0.0000, 3.5992]],
  "species": ["Ga", "Ga", "Ge", "Ge", "Ge", "Ge", "S", "S", "S", "S"],
  "frac_coords": [[0.0000, 0.0000, 0.0000], [0.5000, 0.5000, 0.0000], [0.1774, 0.3226, 0.0000], [0.3226, 0.8226, 0.0000], [0.6774, 0.1774, 0.0000], [0.8226, 0.6774, 0.0000], [0.1769, 0.6769, 0.5000], [0.3231, 0.1769, 0.5000], [0.6769, 0.8231, 0.5000], [0.8231, 0.3231, 0.5000]]
}

***

7.
{
  "formula": "Na3Hg2Se4",
  "functional": "PBE",
  "state": "optimized geometry",
  "polymorph_energy_mev_per_atom": 0,
  "crystal_system": "triclinic",
  "space_group": "P-1, No. 2",
  "lattice_angstrom": [[4.4181, 0.0000, 0.0000], [-0.0032, 6.8407, 0.0000], [-2.2063, -2.9273, 7.6241]],
  "species": ["Na", "Na", "Na", "Hg", "Hg", "Se", "Se", "Se", "Se"],
  "frac_coords": [[0.0000, 0.0000, 0.0000], [0.1273, 0.5517, 0.2524], [0.8727, 0.4483, 0.7476], [0.3410, 0.9867, 0.6817], [0.6590, 0.0133, 0.3183], [0.2229, 0.2437, 0.4459], [0.5001, 0.2878, 0.9994], [0.4999, 0.7122, 0.0006], [0.7771, 0.7563, 0.5541]]
}

***

8.
{
  "formula": "Ca2HfB",
  "functional": "PBE",
  "state": "optimized geometry",
  "delta_e_f_kcal_per_mol_atoms": 13.2,
  "crystal_system": "tetragonal",
  "space_group": "I-42d, No. 122",
  "lattice_angstrom": [[10.0354, 0.0000, 0.0000], [0.0000, 10.0354, 0.0000], [0.0000, 0.0000, 4.5398]],
  "species": ["Ca", "Ca", "Ca", "Ca", "Ca", "Ca", "Ca", "Ca", "Hf", "Hf", "Hf", "Hf", "B", "B", "B", "B"],
  "frac_coords": [[0.0984, 0.7500, 0.1250], [0.2500, 0.0984, 0.8750], [0.2500, 0.4016, 0.3750], [0.4016, 0.7500, 0.6250], [0.5984, 0.2500, 0.6250], [0.7500, 0.5984, 0.3750], [0.7500, 0.9016, 0.8750], [0.9016, 0.2500, 0.1250], [0.0000, 0.0000, 0.5000], [0.0000, 0.5000, 0.7500], [0.5000, 0.0000, 0.2500], [0.5000, 0.5000, 0.0000], [0.0000, 0.0000, 0.0000], [0.0000, 0.5000, 0.2500], [0.5000, 0.0000, 0.7500], [0.5000, 0.5000, 0.5000]]
}

***

9.
{
  "formula": "AgSb",
  "functional": "PBE",
  "state": "optimized geometry",
  "polymorph_energy_mev_per_atom": 65,
  "crystal_system": "trigonal",
  "space_group": "R-3m, No. 166",
  "lattice_angstrom": [[3.6019, 0.0000, 0.0000], [-1.8010, 3.1193, 0.0000], [0.0000, 0.0000, 12.5709]],
  "species": ["Ag", "Ag", "Ag", "Sb", "Sb", "Sb"],
  "frac_coords": [[0.0000, 0.0000, 0.0000], [0.3333, 0.6667, 0.6667], [0.6667, 0.3333, 0.3333], [0.0000, 0.0000, 0.5000], [0.3333, 0.6667, 0.1667], [0.6667, 0.3333, 0.8333]]
}

***

10.
{
  "formula": "P3BrCl",
  "functional": "PBE",
  "state": "optimized geometry",
  "polymorph_energy_mev_per_atom": 78,
  "crystal_system": "cubic",
  "space_group": "Pm-3m, No. 221",
  "lattice_angstrom": [[4.9275, 0.0000, 0.0000], [0.0000, 4.9275, 0.0000], [0.0000, 0.0000, 4.9275]],
  "species": ["P", "P", "P", "Br", "Cl"],
  "frac_coords": [[0.0000, 0.0000, 0.5000], [0.0000, 0.5000, 0.0000], [0.5000, 0.0000, 0.0000], [0.0000, 0.0000, 0.0000], [0.5000, 0.5000, 0.5000]]
}

***

11.
{
  "formula": "LiInGeAu",
  "functional": "PBE",
  "state": "optimized geometry",
  "delta_e_f_kcal_per_mol_atoms": -3.4,
  "crystal_system": "cubic",
  "space_group": "F-43m, No. 216",
  "lattice_angstrom": [[6.7527, 0.0000, 0.0000], [0.0000, 6.7527, 0.0000], [0.0000, 0.0000, 6.7527]],
  "species": ["Li", "Li", "Li", "Li", "In", "In", "In", "In", "Ge", "Ge", "Ge", "Ge", "Au", "Au", "Au", "Au"],
  "frac_coords": [[0.0000, 0.0000, 0.0000], [0.0000, 0.5000, 0.5000], [0.5000, 0.0000, 0.5000], [0.5000, 0.5000, 0.0000], [0.0000, 0.0000, 0.5000], [0.0000, 0.5000, 0.0000], [0.5000, 0.0000, 0.0000], [0.5000, 0.5000, 0.5000], [0.2500, 0.2500, 0.2500], [0.2500, 0.7500, 0.7500], [0.7500, 0.2500, 0.7500], [0.7500, 0.7500, 0.2500], [0.2500, 0.2500, 0.7500], [0.2500, 0.7500, 0.2500], [0.7500, 0.2500, 0.2500], [0.7500, 0.7500, 0.7500]]
}

***

12.
{
  "formula": "EuPaSi2",
  "functional": "PBE",
  "state": "optimized geometry",
  "polymorph_energy_mev_per_atom": 0,
  "crystal_system": "tetragonal",
  "space_group": "P4/mmm, No. 123",
  "lattice_angstrom": [[3.2700, 0.0000, 0.0000], [0.0000, 3.2700, 0.0000], [0.0000, 0.0000, 8.1486]],
  "species": ["Eu", "Pa", "Si", "Si"],
  "frac_coords": [[0.0000, 0.0000, 0.0000], [0.0000, 0.0000, 0.5000], [0.5000, 0.5000, 0.2607], [0.5000, 0.5000, 0.7393]]
}

***

13.
{
  "formula": "ZrPH",
  "functional": "PBE",
  "state": "optimized geometry",
  "polymorph_energy_mev_per_atom": 0,
  "crystal_system": "hexagonal",
  "space_group": "P-6m2, No. 187",
  "lattice_angstrom": [[3.5731, 0.0000, 0.0000], [-1.7865, 3.0944, 0.0000], [0.0000, 0.0000, 3.5226]],
  "species": ["Zr", "P", "H"],
  "frac_coords": [[0.0000, 0.0000, 0.0000], [0.3333, 0.6667, 0.5000], [0.6667, 0.3333, 0.0000]]
}

***

14.
{
  "formula": "Hf2Mg2Sc",
  "functional": "PBE",
  "state": "optimized geometry",
  "delta_e_f_kcal_per_mol_atoms": 1.7,
  "polymorph_energy_mev_per_atom": 0,
  "crystal_system": "trigonal",
  "space_group": "P-3m1, No. 164",
  "lattice_angstrom": [[3.1433, 0.0000, 0.0000], [-1.5717, 2.7222, 0.0000], [0.0000, 0.0000, 13.2066]],
  "species": ["Hf", "Hf", "Mg", "Mg", "Sc"],
  "frac_coords": [[0.3333, 0.6667, 0.1991], [0.6667, 0.3333, 0.8009], [0.3333, 0.6667, 0.5998], [0.6667, 0.3333, 0.4002], [0.0000, 0.0000, 0.0000]]
}

***

15.
{
  "formula": "NbCu3Ni4",
  "functional": "PBE",
  "state": "optimized geometry",
  "delta_e_f_kcal_per_mol_atoms": -1.5,
  "crystal_system": "orthorhombic",
  "space_group": "Pmma, No. 51",
  "lattice_angstrom": [[8.3858, 0.0000, 0.0000], [0.0000, 5.2588, 0.0000], [0.0000, 0.0000, 4.3903]],
  "species": ["Nb", "Nb", "Cu", "Cu", "Cu", "Cu", "Cu", "Cu", "Ni", "Ni", "Ni", "Ni", "Ni", "Ni", "Ni", "Ni"],
  "frac_coords": [[0.0000, 0.0000, 0.0000], [0.5000, 0.0000, 0.0000], [0.0000, 0.5000, 0.0000], [0.2500, 0.0000, 0.3835], [0.2500, 0.5000, 0.3543], [0.5000, 0.5000, 0.0000], [0.7500, 0.0000, 0.6165], [0.7500, 0.5000, 0.6457], [0.0000, 0.2583, 0.5000], [0.0000, 0.7417, 0.5000], [0.2500, 0.2614, 0.8562], [0.2500, 0.7386, 0.8562], [0.5000, 0.2583, 0.5000], [0.5000, 0.7417, 0.5000], [0.7500, 0.2614, 0.1438], [0.7500, 0.7386, 0.1438]]
}

***

16.
{
  "formula": "MgNbI2O",
  "functional": "PBE",
  "state": "optimized geometry",
  "polymorph_energy_mev_per_atom": 0,
  "crystal_system": "tetragonal",
  "space_group": "P4/mmm, No. 123",
  "lattice_angstrom": [[5.8425, 0.0000, 0.0000], [0.0000, 5.8425, 0.0000], [0.0000, 0.0000, 3.9346]],
  "species": ["Mg", "Nb", "I", "I", "O"],
  "frac_coords": [[0.0000, 0.0000, 0.0000], [0.5000, 0.5000, 0.5000], [0.0000, 0.5000, 0.5000], [0.5000, 0.0000, 0.5000], [0.5000, 0.5000, 0.0000]]
}

***

17.
{
  "formula": "ZrSc2Al",
  "functional": "PBE",
  "state": "optimized geometry",
  "delta_e_f_kcal_per_mol_atoms": -5.6,
  "crystal_system": "tetragonal",
  "space_group": "P4/mmm, No. 123",
  "lattice_angstrom": [[3.2531, 0.0000, 0.0000], [0.0000, 3.2531, 0.0000], [0.0000, 0.0000, 8.1629]],
  "species": ["Zr", "Sc", "Sc", "Al"],
  "frac_coords": [[0.0000, 0.0000, 0.0000], [0.5000, 0.5000, 0.2705], [0.5000, 0.5000, 0.7295], [0.0000, 0.0000, 0.5000]]
}

***

18.
{
  "formula": "Mg5InIr3",
  "functional": "PBE",
  "state": "optimized geometry",
  "delta_e_f_kcal_per_mol_atoms": -4.8,
  "crystal_system": "monoclinic",
  "space_group": "C2/m, No. 12",
  "lattice_angstrom": [[4.7160, -4.7747, 0.0000], [4.7160, 4.7747, 0.0000], [-2.8320, 0.0000, 8.5212]],
  "species": ["Mg", "Mg", "Mg", "Mg", "Mg", "Mg", "Mg", "Mg", "Mg", "Mg", "In", "In", "Ir", "Ir", "Ir", "Ir", "Ir", "Ir"],
  "frac_coords": [[0.2262, 0.7616, 0.3287], [0.2370, 0.2370, 0.4051], [0.2368, 0.7632, 0.0000], [0.2384, 0.7738, 0.6713], [0.2663, 0.2663, 0.0958], [0.7337, 0.7337, 0.9042], [0.7616, 0.2262, 0.3287], [0.7632, 0.2368, 0.0000], [0.7630, 0.7630, 0.5949], [0.7738, 0.2384, 0.6713], [0.2575, 0.2575, 0.7497], [0.7425, 0.7425, 0.2503], [0.0000, 0.0000, 0.5000], [0.0083, 0.0083, 0.8502], [0.4936, 0.4936, 0.6380], [0.5000, 0.5000, 0.0000], [0.5064, 0.5064, 0.3620], [0.9917, 0.9917, 0.1498]]
}

***

19.
{
  "formula": "Cs4KHg4",
  "functional": "PBE",
  "state": "optimized geometry",
  "delta_e_f_kcal_per_mol_atoms": -2.8,
  "polymorph_energy_mev_per_atom": 60,
  "crystal_system": "tetragonal",
  "space_group": "I-42m, No. 121",
  "lattice_angstrom": [[-3.8135, 3.8135, 10.1149], [3.8135, -3.8135, 10.1149], [3.8135, 3.8135, -10.1149]],
  "species": ["Cs", "Cs", "Cs", "Cs", "K", "Hg", "Hg", "Hg", "Hg"],
  "frac_coords": [[0.1601, 0.1601, 0.6243], [0.4641, 0.8399, 0.0000], [0.5359, 0.5359, 0.3757], [0.8399, 0.4641, 0.0000], [0.0000, 0.0000, 0.0000], [0.0115, 0.0115, 0.7052], [0.3063, 0.3063, 0.2948], [0.6937, 0.9885, 0.0000], [0.9885, 0.6937, 0.0000]]
}

***

20.
{
  "formula": "La4SiOsBr2",
  "functional": "PBE",
  "state": "optimized geometry",
  "crystal_system": "monoclinic",
  "space_group": "P2/m, No. 10",
  "lattice_angstrom": [[7.5523, 0.0000, 0.0000], [0.0000, 4.2673, 0.0000], [-2.3429, 0.0000, 7.6897]],
  "species": ["La", "La", "La", "La", "Si", "Os", "Br", "Br"],
  "frac_coords": [[0.2246, 0.0000, 0.2024], [0.2442, 0.5000, 0.8025], [0.7558, 0.5000, 0.1975], [0.7754, 0.0000, 0.7976], [0.5000, 0.0000, 0.0000], [0.0000, 0.5000, 0.0000], [0.0000, 0.0000, 0.5000], [0.5000, 0.5000, 0.5000]]
}

***

Results for energy: -72.51; -40.91; -41.54; -60.93; -40.87; -40.71; -23.74; -73.38; -20.06; -11.68; -52.54; -31.92; -20.39; -29.07; -92.01; -23.00; -25.93; -78.35; -6.83; -47.60 (in eV/cell, following the order of the records).